Entry 1:
# PBE Sr4LiHo3Se8, optimized geometry
data_Sr4LiHo3Se8
_chemical_formula_sum 'Sr12 Li3 Ho9 Se24'
_space_group_name_H-M_alt 'R -3 m'
_space_group_IT_number 166
_space_group_name_Hall '-R 3 2"'
_cell_length_a 8.4325
_cell_length_b 8.4325
_cell_length_c 20.9173
_cell_angle_alpha 90.00
_cell_angle_beta 90.00
_cell_angle_gamma 120.00
loop_
_atom_site_label
_atom_site_fract_x
_atom_site_fract_y
_atom_site_fract_z
Sr1 0.0000 0.0000 0.0000
Sr2 0.0000 0.5000 0.0000
Li1 0.0000 0.0000 0.5000
Ho1 0.0000 0.5000 0.5000
Se1 0.0000 0.0000 0.2429
Se2 0.0009 0.5005 0.7581
# - Energy relative to the elements, uncorrected: -1.865 eV per atom


Entry 2:
# PBE Li3Tb2HoSe6, optimized geometry
data_Li3Tb2HoSe6
_chemical_formula_sum 'Li6 Tb4 Ho2 Se12'
_space_group_name_H-M_alt 'C 1 2/m 1'
_space_group_IT_number 12
_cell_length_a 7.060
_cell_length_b 12.229
_cell_length_c 6.912
_cell_angle_alpha 90.00
_cell_angle_beta 109.91
_cell_angle_gamma 90.00
loop_
_space_group_symop_operation_xyz
'x,y,z'
'-x,-y,-z'
'-x,y,-z'
'x,-y,z'
'x+1/2,y+1/2,z'
'-x+1/2,-y+1/2,-z'
'-x+1/2,y+1/2,-z'
'x+1/2,-y+1/2,z'
loop_
_atom_site_label
_atom_site_fract_x
_atom_site_fract_y
_atom_site_fract_z
Li1 0.000 0.000 0.000
Li2 0.000 0.334 0.000
Tb1 0.000 0.167 0.500
Ho1 0.000 0.500 0.500
Se1 0.247 0.500 0.247
Se2 0.250 0.166 0.246
# - Energy relative to the elements, uncorrected: -1.697 eV per atom